8
Lattice="-3.7657 0.4230 -0.6359 -0.7189 -3.0428 2.2334 1.6249 6.8394 6.5358" Properties=species:S:1:pos:R:3 comment="ScMnGe2 | Alexandria | PBE | relaxed" formation_enthalpy_0k_ev_per_atom=-0.426 pbc="T T T"
Sc -0.1437 1.2866 1.7066
Sc -2.7161 2.9330 6.4269
Mn -2.1916 2.9762 3.3494
Mn -0.6682 1.2433 4.7840
Ge -0.4110 3.6804 4.8819
Ge -2.4488 0.5391 3.2515
Ge -1.8829 0.2115 -0.3179
Ge -0.3594 -1.5214 1.1167

11
Lattice="-0.1997 -4.6027 4.5404 3.9588 5.0717 0.6668 -5.7045 2.9402 1.2191" Properties=species:S:1:pos:R:3 comment="Y6PS2N2 | Alexandria | PBE | relaxed" e_form_raw_ev_per_atom=-1.61 pbc="T T T"
Y -1.5351 2.6635 5.0041
Y -2.7788 4.0994 1.5385
Y -0.4103 0.7458 1.4222
Y -4.2418 0.6960 2.9012
Y 0.8334 -0.6901 4.8878
Y 2.2963 2.7133 3.5251
P -2.8523 1.4701 0.6096
S -0.3005 3.2685 2.5870
S -1.6449 0.1408 3.8393
N 0.4919 -2.9937 3.8961
N 3.2672 3.4628 1.3110

7
Lattice="2.9183 0.0000 -0.6654 -0.1784 3.3496 -0.7825 0.0654 -0.1276 7.0195" Properties=species:S:1:pos:R:3 comment="NbTc2B4 | Alexandria | PBE | relaxed" formation_enthalpy_0k_ev_per_atom=-0.488 pbc="T T T"
Nb 1.4592 0.0000 -0.3327
B 1.7851 2.1223 1.0970
B 1.0202 1.0997 4.4746
B 0.1130 1.8928 0.4955
B 2.6924 1.3293 5.0760
Tc 2.2806 2.6564 3.2701
Tc 0.5247 0.5656 2.3015

no.,total magnetization (μB per formula unit),energy (eV per atom)
1,2.11,-6.610
2,0.00,-7.894
3,0.00,-8.704